Entry 1:
The following is a DFT calculation (PBE-GGA) of a geometry-optimized SrCa3Pt structure.

a b c (Å): 5.6649 5.6649 11.4945
angles (deg): 90.00 90.00 120.00
With the nearest neighbours (Å) after each atom.
Sites, in units of the cell vectors:
Sr1 0.3333 0.6667 0.2500  3 Ca 3.27
Sr2 0.6667 0.3333 0.7500  3 Ca 3.27
Ca1 0.0000 0.0000 0.2500  2 Pt 2.87
Ca2 0.0000 0.0000 0.7500  2 Pt 2.87
Ca3 0.3333 0.6667 0.5692  3 Pt 3.37, 3 Ca 3.64, 1 Sr 3.67
Ca4 0.3333 0.6667 0.9308  3 Pt 3.37, 3 Ca 3.64, 1 Sr 3.67
Ca5 0.6667 0.3333 0.0692  3 Pt 3.37, 3 Ca 3.64, 1 Sr 3.67
Ca6 0.6667 0.3333 0.4308  3 Pt 3.37, 3 Ca 3.64, 1 Sr 3.67
Pt1 0.0000 0.0000 0.0000  2 Ca 2.87
Pt2 0.0000 0.0000 0.5000  2 Ca 2.87

Output
formation energy from the elements: -0.226 eV/atom

Entry 2:
The following is a DFT calculation (PBE-GGA) of a geometry-optimized SrCa3Pt structure.

a b c (Å): 6.9399 6.9399 13.6693
angles (deg): 111.08 111.08 35.00
With the nearest neighbours (Å) after each atom.
Sites, in units of the cell vectors:
Sr1 0.0000 0.0000 0.0000  3 Pt 3.19-3.42
Sr2 0.2090 0.2090 0.8534  2 Pt 3.07
Ca1 0.1931 0.1931 0.4747  1 Pt 3.12
Ca2 0.5386 0.5386 0.2483  2 Pt 2.96
Ca3 0.5438 0.5438 0.6157  1 Pt 3.10
Ca4 0.7483 0.7483 0.1113  2 Pt 3.04, 1 Ca 3.38
Ca5 0.8598 0.8598 0.3780  2 Pt 3.04, 1 Ca 3.38
Ca6 0.8799 0.8799 0.7137  2 Pt 2.97
Pt1 0.1978 0.1978 0.2485  7 Ca 2.96-3.12
Pt2 0.5340 0.5340 0.8386  3 Ca 2.97-3.10, 4 Sr 3.07-3.19

Output
formation energy from the elements: -0.463 eV/atom

Entry 3:
The following is a DFT calculation (PBE-GGA) of a geometry-optimized Sr2CaPt structure.

a b c (Å): 5.9939 5.9939 5.9939
angles (deg): 128.80 128.80 75.33
With the nearest neighbours (Å) after each atom.
Sites, in units of the cell vectors:
Sr1 0.2500 0.7500 0.5000  4 Pt 3.51, 4 Ca 3.51, 4 Sr 3.66
Sr2 0.7500 0.2500 0.5000  4 Pt 3.51, 4 Ca 3.51, 4 Sr 3.66
Ca1 0.0000 0.0000 0.0000  8 Sr 3.51, 4 Pt 3.66
Pt1 0.5000 0.5000 0.0000  8 Sr 3.51, 4 Ca 3.66

Output
formation energy from the elements: -0.125 eV/atom

Entry 4:
The following is a DFT calculation (PBE-GGA) of a geometry-optimized SrCaPt3 structure.

a b c (Å): 5.1075 5.1075 5.1075
angles (deg): 90.00 90.00 90.00
With the nearest neighbours (Å) after each atom.
Sites, in units of the cell vectors:
Sr1 0.0000 0.0000 0.0000  12 Pt 3.61
Ca1 0.5000 0.5000 0.5000  6 Pt 2.55
Pt1 0.0000 0.5000 0.5000  2 Ca 2.55
Pt2 0.5000 0.0000 0.5000  2 Ca 2.55
Pt3 0.5000 0.5000 0.0000  2 Ca 2.55

Output
formation energy from the elements: 0.226 eV/atom

Entry 5:
The following is a DFT calculation (PBE-GGA) of a geometry-optimized SrCa3Pt structure.

a b c (Å): 11.6605 11.6605 7.3241
angles (deg): 90.00 90.00 140.12
With the nearest neighbours (Å) after each atom.
Sites, in units of the cell vectors:
Sr1 0.1672 0.8328 0.7500  1 Pt 2.86
Sr2 0.8328 0.1672 0.2500  1 Pt 2.86
Ca1 0.0000 0.0000 0.0000  6 Ca 3.66-3.84, 2 Sr 4.10
Ca2 0.0000 0.0000 0.5000  6 Ca 3.66-3.84, 2 Sr 4.10
Ca3 0.1161 0.3688 0.7500  1 Pt 2.64
Ca4 0.3688 0.1161 0.2500  1 Pt 2.64
Ca5 0.6312 0.8839 0.7500  1 Pt 2.64
Ca6 0.8839 0.6312 0.2500  1 Pt 2.64
Pt1 0.2977 0.7023 0.7500  2 Ca 2.64, 1 Sr 2.86
Pt2 0.7023 0.2977 0.2500  2 Ca 2.64, 1 Sr 2.86

Output
formation energy from the elements: 0.340 eV/atom

Entry 6:
The following is a DFT calculation (PBE-GGA) of a geometry-optimized Sr2Ca6Pt structure.

a b c (Å): 8.0467 8.0467 8.0467
angles (deg): 60.00 60.00 60.00
With the nearest neighbours (Å) after each atom.
Sites, in units of the cell vectors:
Sr1 0.2500 0.2500 0.2500  12 Ca 4.02
Sr2 0.7500 0.7500 0.7500  12 Ca 4.02
Ca1 0.2490 0.2490 0.7510  1 Pt 2.83
Ca2 0.2490 0.7510 0.2490  1 Pt 2.83
Ca3 0.2490 0.7510 0.7510  1 Pt 2.83
Ca4 0.7510 0.2490 0.2490  1 Pt 2.83
Ca5 0.7510 0.2490 0.7510  1 Pt 2.83
Ca6 0.7510 0.7510 0.2490  1 Pt 2.83
Pt1 0.0000 0.0000 0.0000  6 Ca 2.83

Output
formation energy from the elements: -0.273 eV/atom

Entry 7:
The following is a DFT calculation (PBE-GGA) of a geometry-optimized Sr2CaPt structure.

a b c (Å): 3.7986 3.7968 10.0131
angles (deg): 90.00 90.13 90.00
With the nearest neighbours (Å) after each atom.
Sites, in units of the cell vectors:
Sr1 0.0012 0.0000 0.1744  4 Pt 3.20, 1 Sr 3.49
Sr2 0.9988 0.0000 0.8256  4 Pt 3.20, 1 Sr 3.49
Ca1 0.5000 0.5000 0.5000  4 Ca 3.80, 8 Sr 4.22-4.23
Pt1 0.5000 0.5000 0.0000  8 Sr 3.20

Output
formation energy from the elements: -0.418 eV/atom

Entry 8:
The following is a DFT calculation (PBE-GGA) of a geometry-optimized SrCa3Pt structure.

a b c (Å): 9.2952 4.2244 9.5798
angles (deg): 90.00 110.93 90.00
With the nearest neighbours (Å) after each atom.
Sites, in units of the cell vectors:
Sr1 0.0000 0.0000 0.0000  1 Pt 3.72, 8 Ca 3.81-4.16, 2 Sr 4.16
Sr2 0.2310 0.5000 0.3902  2 Pt 3.16
Ca1 0.2951 0.0000 0.7331  2 Pt 3.07-3.17
Ca2 0.4038 0.5000 0.0610  2 Pt 2.98
Ca3 0.6278 0.0000 0.4170  1 Pt 3.39, 4 Ca 3.65-3.69
Ca4 0.6308 0.5000 0.7961  2 Pt 2.97
Ca5 0.8078 0.5000 0.2147  4 Pt 3.08-3.09
Ca6 0.9598 0.5000 0.6279  2 Pt 2.90
Pt1 0.6004 0.0000 0.0016  7 Ca 2.97-3.09
Pt2 0.9991 0.0000 0.4377  5 Ca 2.90-3.17, 2 Sr 3.16

Output
formation energy from the elements: -0.470 eV/atom

The magnetization results, record by record, are as follows: 0.0 0.0 0.0 0.0 0.0 0.0 0.0 0.0 Bohr magnetons per cell.